Below is a relaxed structure of BaHg2SbTe4, with properties calculated at the PBE-GGA level.

Unit cell a=8.7245 b=7.2950 c=7.2950 alpha=62.48 beta=53.27 gamma=53.27
Fractional positions:
Te  0.5106  0.0798  0.5353
Te  0.4894  0.4647  0.9202
Te  0.1257  0.9202  0.4647
Te  0.8743  0.5353  0.0798
Sb  0.5000  0.5000  0.5000
Ba  0.0000  0.0000  0.0000
Hg  0.8406  0.6594  0.6594
Hg  0.1594  0.3406  0.3406

Properties
formation energy without anion corrections	-429	meV per atom
DOS at the Fermi energy	4.56	states/eV/cell



Below is a relaxed structure of BaTlHg2Sb2, with properties calculated at the PBE-GGA level.

Unit cell a=5.2430 b=5.2430 c=7.8260 alpha=90.00 beta=90.00 gamma=120.00
Fractional positions:
Ba  0.0000  0.0000  0.0000
Hg  0.3333  0.6667  0.7101
Hg  0.6667  0.3333  0.2899
Sb  0.3333  0.6667  0.2744
Sb  0.6667  0.3333  0.7256
Tl  0.0000  0.0000  0.5000

Properties
formation energy without anion corrections	-347	meV per atom
DOS at the Fermi energy	1.09	states/eV/cell



Below is a relaxed structure of BaTlHg2Sb, with properties calculated at the PBE-GGA level.

Unit cell a=5.2462 b=4.9317 c=7.2492 alpha=109.89 beta=111.21 gamma=90.00
Fractional positions:
Hg  0.0626  0.0626  0.1252
Hg  0.6737  0.1737  0.3473
Tl  0.1978  0.6978  0.3957
Ba  0.4430  0.4430  0.8860
Sb  0.8351  0.8351  0.6701

Properties
formation energy without anion corrections	-376	meV per atom
DOS at the Fermi energy	1.45	states/eV/cell



Below is a relaxed structure of BaTlHgSb, with properties calculated at the PBE-GGA level.

Unit cell a=5.8235 b=5.8235 c=5.8235 alpha=60.00 beta=60.00 gamma=60.00
Fractional positions:
Tl  0.2500  0.2500  0.2500
Ba  0.7500  0.7500  0.7500
Hg  0.5000  0.5000  0.5000
Sb  0.0000  0.0000  0.0000

Properties
formation energy without anion corrections	-477	meV per atom
DOS at the Fermi energy	1.35	states/eV/cell



Below is a relaxed structure of BaVHgSb2, with properties calculated at the PBE-GGA level.

Unit cell a=5.2316 b=5.2316 c=5.3713 alpha=90.00 beta=90.00 gamma=90.00
Fractional positions:
Ba  0.5000  0.5000  0.5000
Hg  0.0000  0.0000  0.5000
Sb  0.5000  0.0000  0.0000
Sb  0.0000  0.5000  0.0000
V  0.0000  0.0000  0.0000

Properties
formation energy without anion corrections	-307	meV per atom
DOS at the Fermi energy	2.41	states/eV/cell



Below is a relaxed structure of BaY2HgSb, with properties calculated at the PBE-GGA level.

Unit cell a=5.7389 b=6.5717 c=5.7389 alpha=90.00 beta=90.00 gamma=90.00
Fractional positions:
Sb  0.0000  0.0000  0.0000
Hg  0.5000  0.5000  0.5000
Y  0.0000  0.0000  0.5000
Y  0.5000  0.0000  0.0000
Ba  0.0000  0.5000  0.0000

Properties
formation energy without anion corrections	-55	meV per atom
DOS at the Fermi energy	8.73	states/eV/cell



Below is a relaxed structure of Ba2ZnHg6Sb, with properties calculated at the PBE-GGA level.

Unit cell a=6.1905 b=10.4559 c=9.5984 alpha=90.00 beta=90.00 gamma=90.00
Fractional positions:
Hg  0.7571  0.0099  0.5000
Hg  0.7429  0.9901  0.0000
Hg  0.5000  0.1076  0.2493
Hg  0.7519  0.5390  0.0000
Hg  0.5000  0.1076  0.7507
Hg  0.0000  0.8924  0.7493
Hg  0.2519  0.4610  0.5000
Hg  0.2429  0.0099  0.5000
Hg  0.2571  0.9901  0.0000
Hg  0.0000  0.8924  0.2507
Hg  0.2481  0.5390  0.0000
Hg  0.7481  0.4610  0.5000
Sb  0.5000  0.2937  0.0000
Sb  0.0000  0.7063  0.5000
Ba  0.5000  0.7401  0.2687
Ba  0.0000  0.2599  0.7687
Ba  0.5000  0.7401  0.7313
Ba  0.0000  0.2599  0.2313
Zn  0.0000  0.7522  0.0000
Zn  0.5000  0.2478  0.5000

Properties
formation energy without anion corrections	-285	meV per atom
DOS at the Fermi energy	7.25	states/eV/cell



Below is a relaxed structure of BaScHg3, with properties calculated at the PBE-GGA level.

Unit cell a=5.5490 b=5.5490 c=5.5490 alpha=90.00 beta=90.00 gamma=90.00
Fractional positions:
Hg  0.0000  0.5000  0.0000
Hg  0.5000  0.0000  0.0000
Hg  0.0000  0.0000  0.5000
Sc  0.0000  0.0000  0.0000
Ba  0.5000  0.5000  0.5000

Properties
excess energy over the best structure of this formula in the dataset	0	meV per atom
DOS at the Fermi energy	8.58	states/eV/cell
energy relative to the elements	-0.18	eV/atom